VASP calculation (PBE-GGA) on crystalline ScAs2Rh at its relaxed geometry.

- Energy of formation: -0.499 eV per atom
- VASP energy: -0.459 Ry/atom

Geometry as CIF:
```
data_ScAs2Rh
_cell_length_a 4.0178
_cell_length_b 5.1243
_cell_length_c 6.7566
_cell_angle_alpha 90.00
_cell_angle_beta 90.00
_cell_angle_gamma 90.00
_symmetry_space_group_name_H-M 'C m m m'
_symmetry_Int_Tables_number 65
_symmetry_space_group_name_Hall '-C 2 2'
loop_
_atom_site_label
_atom_site_type_symbol
_atom_site_fract_x
_atom_site_fract_y
_atom_site_fract_z
Sc1 Sc 0.0000 0.0000 0.0000
As1 As 0.0000 0.5000 0.2704
Rh1 Rh 0.0000 0.0000 0.5000
```

VASP calculation (PBE-GGA) on crystalline ScAsRh2 at its relaxed geometry.

- Energy of formation: -0.738 eV per atom
- VASP energy: -0.526 Ry/atom

Geometry as CIF:
```
data_ScAsRh2
_cell_length_a 9.1987
_cell_length_b 3.3164
_cell_length_c 4.3847
_cell_angle_alpha 90.00
_cell_angle_beta 108.00
_cell_angle_gamma 90.00
_symmetry_space_group_name_H-M 'C 1 m 1'
_symmetry_Int_Tables_number 8
loop_
_symmetry_equiv_pos_as_xyz
'x,y,z'
'x,-y,z'
'x+1/2,y+1/2,z'
'x+1/2,-y+1/2,z'
loop_
_atom_site_label
_atom_site_type_symbol
_atom_site_fract_x
_atom_site_fract_y
_atom_site_fract_z
Sc1 Sc 0.0000 0.0000 0.0000
As1 As 0.2418 0.0000 0.6295
Rh1 Rh 0.0199 0.5000 0.5286
Rh2 Rh 0.2479 0.5000 0.1820
```

VASP calculation (PBE-GGA) on crystalline Sc2AsRh at its relaxed geometry.

- Energy of formation: -1.084 eV per atom
- VASP energy: -0.533 Ry/atom

Geometry as CIF:
```
data_Sc2AsRh
_cell_length_a 4.1489
_cell_length_b 3.5343
_cell_length_c 10.0988
_cell_angle_alpha 90.00
_cell_angle_beta 90.00
_cell_angle_gamma 90.00
_symmetry_space_group_name_H-M 'A m m 2'
_symmetry_Int_Tables_number 38
loop_
_symmetry_equiv_pos_as_xyz
'x,y,z'
'-x,-y,z'
'-x,y,z'
'x,-y,z'
'x,y+1/2,z+1/2'
'-x,-y+1/2,z+1/2'
'-x,y+1/2,z+1/2'
'x,-y+1/2,z+1/2'
loop_
_atom_site_label
_atom_site_type_symbol
_atom_site_fract_x
_atom_site_fract_y
_atom_site_fract_z
Sc1 Sc 0.0000 0.0000 0.0000
Sc2 Sc 0.5000 0.0000 0.2844
As1 As 0.5000 0.0000 0.5602
Rh1 Rh 0.0000 0.0000 0.7330
```

VASP calculation (PBE-GGA) on crystalline Sc2AsRh at its relaxed geometry.

- Energy of formation: -0.353 eV per atom
- VASP energy: -0.479 Ry/atom

Geometry as CIF:
```
data_Sc2AsRh
_cell_length_a 3.5648
_cell_length_b 3.5648
_cell_length_c 24.0698
_cell_angle_alpha 90.00
_cell_angle_beta 90.00
_cell_angle_gamma 120.00
_symmetry_space_group_name_H-M 'R -3 m'
_symmetry_Int_Tables_number 166
_symmetry_space_group_name_Hall '-R 3 2"'
loop_
_atom_site_label
_atom_site_type_symbol
_atom_site_fract_x
_atom_site_fract_y
_atom_site_fract_z
Sc1 Sc 0.0000 0.0000 0.0982
As1 As 0.0000 0.0000 0.5000
Rh1 Rh 0.0000 0.0000 0.0000
```

VASP calculation (PBE-GGA) on crystalline ScAsRh2 at its relaxed geometry.

- Energy of formation: -0.667 eV per atom
- VASP energy: -0.521 Ry/atom

Geometry as CIF:
```
data_ScAsRh2
_cell_length_a 3.5088
_cell_length_b 3.5088
_cell_length_c 5.2537
_cell_angle_alpha 90.00
_cell_angle_beta 90.00
_cell_angle_gamma 90.00
_symmetry_space_group_name_H-M 'P 4 m m'
_symmetry_Int_Tables_number 99
loop_
_symmetry_equiv_pos_as_xyz
'x,y,z'
'-y,x,z'
'-x,-y,z'
'y,-x,z'
'-x,y,z'
'y,x,z'
'x,-y,z'
'-y,-x,z'
loop_
_atom_site_label
_atom_site_type_symbol
_atom_site_fract_x
_atom_site_fract_y
_atom_site_fract_z
Sc1 Sc 0.0000 0.0000 0.0000
As1 As 0.5000 0.5000 0.3196
Rh1 Rh 0.0000 0.0000 0.4841
Rh2 Rh 0.5000 0.5000 0.8032
```

VASP calculation (PBE-GGA) on crystalline ScAsRh2 at its relaxed geometry.

- Energy of formation: -0.726 eV per atom
- VASP energy: -0.525 Ry/atom

Geometry as CIF:
```
data_ScAsRh2
_cell_length_a 3.5784
_cell_length_b 4.0323
_cell_length_c 8.6818
_cell_angle_alpha 90.00
_cell_angle_beta 90.00
_cell_angle_gamma 90.00
_symmetry_space_group_name_H-M 'I m m 2'
_symmetry_Int_Tables_number 44
loop_
_symmetry_equiv_pos_as_xyz
'x,y,z'
'-x,-y,z'
'-x,y,z'
'x,-y,z'
'x+1/2,y+1/2,z+1/2'
'-x+1/2,-y+1/2,z+1/2'
'-x+1/2,y+1/2,z+1/2'
'x+1/2,-y+1/2,z+1/2'
loop_
_atom_site_label
_atom_site_type_symbol
_atom_site_fract_x
_atom_site_fract_y
_atom_site_fract_z
Sc1 Sc 0.0000 0.0000 0.0000
As1 As 0.0000 0.5000 0.7577
Rh1 Rh 0.0000 0.0000 0.4843
Rh2 Rh 0.0000 0.5000 0.2432
```

VASP calculation (PBE-GGA) on crystalline Sc2AsRh at its relaxed geometry.

- Energy of formation: -0.853 eV per atom
- VASP energy: -0.516 Ry/atom

Geometry as CIF:
```
data_Sc2AsRh
_cell_length_a 3.7967
_cell_length_b 3.7967
_cell_length_c 19.2126
_cell_angle_alpha 90.00
_cell_angle_beta 90.00
_cell_angle_gamma 120.00
_symmetry_space_group_name_H-M 'R -3 m'
_symmetry_Int_Tables_number 166
_symmetry_space_group_name_Hall '-R 3 2"'
loop_
_atom_site_label
_atom_site_type_symbol
_atom_site_fract_x
_atom_site_fract_y
_atom_site_fract_z
Sc1 Sc 0.0000 0.0000 0.2490
As1 As 0.0000 0.0000 0.0000
Rh1 Rh 0.0000 0.0000 0.5000
```

VASP calculation (PBE-GGA) on crystalline ScAs2Rh at its relaxed geometry.

- Energy of formation: -0.595 eV per atom
- VASP energy: -0.466 Ry/atom

Geometry as CIF:
```
data_ScAs2Rh
_cell_length_a 3.8588
_cell_length_b 3.8588
_cell_length_c 9.0964
_cell_angle_alpha 90.00
_cell_angle_beta 90.00
_cell_angle_gamma 90.00
_symmetry_space_group_name_H-M 'I -4 m 2'
_symmetry_Int_Tables_number 119
_symmetry_space_group_name_Hall 'I -4 -2'
loop_
_atom_site_label
_atom_site_type_symbol
_atom_site_fract_x
_atom_site_fract_y
_atom_site_fract_z
Sc1 Sc 0.0000 0.0000 0.0000
As1 As 0.0000 0.0000 0.5000
As2 As 0.0000 0.5000 0.7500
Rh1 Rh 0.0000 0.5000 0.2500
```

VASP calculation (PBE-GGA) on crystalline Sc2AsRh2 at its relaxed geometry.

- Energy of formation: -0.771 eV per atom
- VASP energy: -0.527 Ry/atom

Geometry as CIF:
```
data_Sc2AsRh2
_cell_length_a 7.2250
_cell_length_b 7.2250
_cell_length_c 3.3526
_cell_angle_alpha 90.00
_cell_angle_beta 90.00
_cell_angle_gamma 90.00
_symmetry_space_group_name_H-M 'P 4/m b m'
_symmetry_Int_Tables_number 127
_symmetry_space_group_name_Hall '-P 4 2ab'
loop_
_atom_site_label
_atom_site_type_symbol
_atom_site_fract_x
_atom_site_fract_y
_atom_site_fract_z
Sc1 Sc 0.1680 0.3320 0.0000
As1 As 0.0000 0.0000 0.5000
Rh1 Rh 0.1365 0.6365 0.5000
```

VASP calculation (PBE-GGA) on crystalline Sc2AsRh at its relaxed geometry.

- Energy of formation: -0.954 eV per atom
- VASP energy: -0.523 Ry/atom

Geometry as CIF:
```
data_Sc2AsRh
_cell_length_a 3.3789
_cell_length_b 3.4055
_cell_length_c 6.2286
_cell_angle_alpha 90.00
_cell_angle_beta 90.00
_cell_angle_gamma 90.00
_symmetry_space_group_name_H-M 'P m m m'
_symmetry_Int_Tables_number 47
loop_
_symmetry_equiv_pos_as_xyz
'x,y,z'
'-x,-y,-z'
'-x,-y,z'
'x,y,-z'
'x,-y,-z'
'-x,y,z'
'-x,y,-z'
'x,-y,z'
loop_
_atom_site_label
_atom_site_type_symbol
_atom_site_fract_x
_atom_site_fract_y
_atom_site_fract_z
Sc1 Sc 0.0000 0.0000 0.2496
As1 As 0.5000 0.5000 0.0000
Rh1 Rh 0.5000 0.5000 0.5000
```

VASP calculation (PBE-GGA) on crystalline ScAs2Rh at its relaxed geometry.

- Energy of formation: -0.505 eV per atom
- VASP energy: -0.459 Ry/atom

Geometry as CIF:
```
data_ScAs2Rh
_cell_length_a 4.2385
_cell_length_b 4.2385
_cell_length_c 17.0705
_cell_angle_alpha 90.00
_cell_angle_beta 90.00
_cell_angle_gamma 90.00
_symmetry_space_group_name_H-M 'I -4 2 d'
_symmetry_Int_Tables_number 122
_symmetry_space_group_name_Hall 'I -4 2bw'
loop_
_atom_site_label
_atom_site_type_symbol
_atom_site_fract_x
_atom_site_fract_y
_atom_site_fract_z
Sc1 Sc 0.0000 0.0000 0.0000
As1 As 0.2011 0.2500 0.6250
Rh1 Rh 0.0000 0.0000 0.5000
```

VASP calculation (PBE-GGA) on crystalline Sc2AsRh at its relaxed geometry.

- Energy of formation: -0.489 eV per atom
- VASP energy: -0.489 Ry/atom

Geometry as CIF:
```
data_Sc2AsRh
_cell_length_a 6.5153
_cell_length_b 6.5153
_cell_length_c 6.5153
_cell_angle_alpha 90.00
_cell_angle_beta 90.00
_cell_angle_gamma 90.00
_symmetry_space_group_name_H-M 'F -4 3 m'
_symmetry_Int_Tables_number 216
_symmetry_space_group_name_Hall 'F -4 2 3'
loop_
_atom_site_label
_atom_site_type_symbol
_atom_site_fract_x
_atom_site_fract_y
_atom_site_fract_z
Sc1 Sc 0.0000 0.0000 0.0000
Sc2 Sc 0.2500 0.2500 0.2500
As1 As 0.0000 0.0000 0.5000
Rh1 Rh 0.2500 0.2500 0.7500
```

VASP calculation (PBE-GGA) on crystalline ScAsRh2 at its relaxed geometry.

- Energy of formation: -0.843 eV per atom
- VASP energy: -0.534 Ry/atom

Geometry as CIF:
```
data_ScAsRh2
_cell_length_a 13.6038
_cell_length_b 7.1171
_cell_length_c 5.3816
_cell_angle_alpha 90.00
_cell_angle_beta 90.00
_cell_angle_gamma 90.00
_symmetry_space_group_name_H-M 'P n m a'
_symmetry_Int_Tables_number 62
loop_
_symmetry_equiv_pos_as_xyz
'x,y,z'
'-x,-y,-z'
'-x+1/2,-y,z+1/2'
'x+1/2,y,-z+1/2'
'x+1/2,-y+1/2,-z+1/2'
'-x+1/2,y+1/2,z+1/2'
'-x,y+1/2,-z'
'x,-y+1/2,z'
loop_
_atom_site_label
_atom_site_type_symbol
_atom_site_fract_x
_atom_site_fract_y
_atom_site_fract_z
Sc1 Sc 0.1176 0.2500 0.2024
Sc2 Sc 0.1268 0.7500 0.0195
As1 As 0.0654 0.7500 0.5290
As2 As 0.1834 0.2500 0.7105
Rh1 Rh 0.0348 0.0486 0.7591
Rh2 Rh 0.2156 0.5502 0.4940
```

VASP calculation (PBE-GGA) on crystalline ScAsRh2 at its relaxed geometry.

- Energy of formation: -0.437 eV per atom
- VASP energy: -0.504 Ry/atom

Geometry as CIF:
```
data_ScAsRh2
_cell_length_a 6.3599
_cell_length_b 6.3599
_cell_length_c 6.3599
_cell_angle_alpha 90.00
_cell_angle_beta 90.00
_cell_angle_gamma 90.00
_symmetry_space_group_name_H-M 'F -4 3 m'
_symmetry_Int_Tables_number 216
_symmetry_space_group_name_Hall 'F -4 2 3'
loop_
_atom_site_label
_atom_site_type_symbol
_atom_site_fract_x
_atom_site_fract_y
_atom_site_fract_z
Sc1 Sc 0.0000 0.0000 0.0000
As1 As 0.2500 0.2500 0.2500
Rh1 Rh 0.0000 0.0000 0.5000
Rh2 Rh 0.2500 0.2500 0.7500
```

VASP calculation (PBE-GGA) on crystalline ScAs2Rh at its relaxed geometry.

- Energy of formation: -0.331 eV per atom
- VASP energy: -0.447 Ry/atom

Geometry as CIF:
```
data_ScAs2Rh
_cell_length_a 3.2688
_cell_length_b 3.2688
_cell_length_c 24.1747
_cell_angle_alpha 90.00
_cell_angle_beta 90.00
_cell_angle_gamma 120.00
_symmetry_space_group_name_H-M 'R 3 m'
_symmetry_Int_Tables_number 160
_symmetry_space_group_name_Hall 'R 3 -2"'
loop_
_atom_site_label
_atom_site_type_symbol
_atom_site_fract_x
_atom_site_fract_y
_atom_site_fract_z
Sc1 Sc 0.0000 0.0000 0.0000
As1 As 0.0000 0.0000 0.2476
As2 As 0.0000 0.0000 0.4865
Rh1 Rh 0.0000 0.0000 0.7546
```

VASP calculation (PBE-GGA) on crystalline ScAsRh4 at its relaxed geometry.

- Energy of formation: -0.238 eV per atom
- VASP energy: -0.512 Ry/atom

Geometry as CIF:
```
data_ScAsRh4
_cell_length_a 7.3234
_cell_length_b 7.3234
_cell_length_c 7.3234
_cell_angle_alpha 90.00
_cell_angle_beta 90.00
_cell_angle_gamma 90.00
_symmetry_space_group_name_H-M 'F -4 3 m'
_symmetry_Int_Tables_number 216
_symmetry_space_group_name_Hall 'F -4 2 3'
loop_
_atom_site_label
_atom_site_type_symbol
_atom_site_fract_x
_atom_site_fract_y
_atom_site_fract_z
Sc1 Sc 0.0000 0.0000 0.0000
As1 As 0.2500 0.2500 0.7500
Rh1 Rh 0.1245 0.1245 0.3755
```

VASP calculation (PBE-GGA) on crystalline ScAs3Rh at its relaxed geometry.

- Distance to the lowest polymorph of the same formula: 0.0 meV per atom
- Energy of formation: 0.136 eV per atom
- VASP energy: -0.396 Ry/atom

Geometry as CIF:
```
data_ScAs3Rh
_cell_length_a 4.8031
_cell_length_b 4.8031
_cell_length_c 4.8031
_cell_angle_alpha 90.00
_cell_angle_beta 90.00
_cell_angle_gamma 90.00
_symmetry_space_group_name_H-M 'P m -3 m'
_symmetry_Int_Tables_number 221
_symmetry_space_group_name_Hall '-P 4 2 3'
loop_
_atom_site_label
_atom_site_type_symbol
_atom_site_fract_x
_atom_site_fract_y
_atom_site_fract_z
Sc1 Sc 0.0000 0.0000 0.0000
As1 As 0.0000 0.5000 0.5000
Rh1 Rh 0.5000 0.5000 0.5000
```

VASP calculation (PBE-GGA) on crystalline ScAs2Rh at its relaxed geometry.

- Energy of formation: -0.516 eV per atom
- VASP energy: -0.460 Ry/atom

Geometry as CIF:
```
data_ScAs2Rh
_cell_length_a 3.0870
_cell_length_b 3.0870
_cell_length_c 8.1552
_cell_angle_alpha 90.00
_cell_angle_beta 90.00
_cell_angle_gamma 90.00
_symmetry_space_group_name_H-M 'P 4 m m'
_symmetry_Int_Tables_number 99
loop_
_symmetry_equiv_pos_as_xyz
'x,y,z'
'-y,x,z'
'-x,-y,z'
'y,-x,z'
'-x,y,z'
'y,x,z'
'x,-y,z'
'-y,-x,z'
loop_
_atom_site_label
_atom_site_type_symbol
_atom_site_fract_x
_atom_site_fract_y
_atom_site_fract_z
Sc1 Sc 0.0000 0.0000 0.0000
As1 As 0.0000 0.0000 0.5991
As2 As 0.5000 0.5000 0.2262
Rh1 Rh 0.5000 0.5000 0.7603
```

VASP calculation (PBE-GGA) on crystalline ScAsRhSe2 at its relaxed geometry.

- Distance to the lowest polymorph of the same formula: 0.0 meV per atom
- Formation energy from raw total energies: -0.104 eV per atom
- VASP energy: -0.380 Ry/atom

Geometry as CIF:
```
data_ScAsRhSe2
_cell_length_a 5.0311
_cell_length_b 5.0311
_cell_length_c 4.5502
_cell_angle_alpha 90.00
_cell_angle_beta 90.00
_cell_angle_gamma 90.00
_symmetry_space_group_name_H-M 'P 4/m m m'
_symmetry_Int_Tables_number 123
_symmetry_space_group_name_Hall '-P 4 2'
loop_
_atom_site_label
_atom_site_type_symbol
_atom_site_fract_x
_atom_site_fract_y
_atom_site_fract_z
Sc1 Sc 0.0000 0.0000 0.0000
As1 As 0.5000 0.5000 0.0000
Rh1 Rh 0.5000 0.5000 0.5000
Se1 Se 0.0000 0.5000 0.5000
```

VASP calculation (PBE-GGA) on crystalline ScAsRhSe2 at its relaxed geometry.

- Distance to the lowest polymorph of the same formula: 474.4 meV per atom
- Formation energy from raw total energies: 0.370 eV per atom
- VASP energy: -0.345 Ry/atom

Geometry as CIF:
```
data_ScAsRhSe2
_cell_length_a 5.0125
_cell_length_b 5.0125
_cell_length_c 5.0854
_cell_angle_alpha 90.00
_cell_angle_beta 90.00
_cell_angle_gamma 90.00
_symmetry_space_group_name_H-M 'P 4/m m m'
_symmetry_Int_Tables_number 123
_symmetry_space_group_name_Hall '-P 4 2'
loop_
_atom_site_label
_atom_site_type_symbol
_atom_site_fract_x
_atom_site_fract_y
_atom_site_fract_z
Sc1 Sc 0.0000 0.0000 0.0000
As1 As 0.0000 0.0000 0.5000
Rh1 Rh 0.5000 0.5000 0.5000
Se1 Se 0.0000 0.5000 0.0000
```